# 1
SbRuPb2 (PBEsol, optimized geometry); crystal system = orthorhombic; SG = Amm2 (38); uncorrected formation energy = 0.28 eV per atom
1.0
3.6586 0.0000 0.0000
0.0000 3.4486 0.0000
0.0000 0.0000 15.2742
Sb Ru Pb
2 2 4
direct
0.0000 0.0000 0.0000
0.0000 0.5000 0.5000
0.5000 0.0000 0.8799
0.5000 0.5000 0.3799
0.0000 0.0000 0.3020
0.0000 0.5000 0.8020
0.5000 0.0000 0.6550
0.5000 0.5000 0.1550



# 2
KIn5 (PBEsol, optimized geometry); crystal system = tetragonal; SG = P4/mmm (123); formation energy = -0.026 eV/atom
1.0
3.3522 0.0000 0.0000
0.0000 3.3522 0.0000
0.0000 0.0000 14.3973
K In
1 5
direct
0.0000 0.0000 0.0000
0.0000 0.0000 0.3406
0.0000 0.0000 0.6594
0.5000 0.5000 0.1904
0.5000 0.5000 0.5000
0.5000 0.5000 0.8096



# 3
Ni2PdI (PBEsol, optimized geometry); crystal system = cubic; SG = Fm-3m (225); uncorrected formation energy = 0.37 eV per atom
1.0
6.1250 0.0000 0.0000
0.0000 6.1250 0.0000
0.0000 0.0000 6.1250
Ni Pd I
8 4 4
direct
0.2500 0.2500 0.2500
0.2500 0.2500 0.7500
0.2500 0.7500 0.2500
0.2500 0.7500 0.7500
0.7500 0.2500 0.2500
0.7500 0.2500 0.7500
0.7500 0.7500 0.2500
0.7500 0.7500 0.7500
0.0000 0.0000 0.0000
0.0000 0.5000 0.5000
0.5000 0.0000 0.5000
0.5000 0.5000 0.0000
0.0000 0.0000 0.5000
0.0000 0.5000 0.0000
0.5000 0.0000 0.0000
0.5000 0.5000 0.5000



# 4
ZnP4O11 (PBEsol, optimized geometry); crystal system = monoclinic; SG = P2_1/c (14); uncorrected formation energy = -2.02 eV per atom
1.0
5.3540 0.0000 0.0000
0.0000 22.4173 0.0000
-2.5985 0.0000 6.9891
Zn P O
4 16 44
direct
0.0082 0.1145 0.3684
0.0082 0.3855 0.8684
0.9918 0.6145 0.1316
0.9918 0.8855 0.6316
0.3090 0.0721 0.8096
0.3090 0.4279 0.3096
0.3152 0.6784 0.5545
0.3152 0.8216 0.0545
0.3900 0.6956 0.9696
0.3900 0.8044 0.4696
0.4049 0.0365 0.2060
0.4049 0.4635 0.7060
0.5951 0.5365 0.2940
0.5951 0.9635 0.7940
0.6100 0.1956 0.5304
0.6100 0.3044 0.0304
0.6848 0.1784 0.9455
0.6848 0.3216 0.4455
0.6909 0.5721 0.6904
0.6909 0.9279 0.1904
0.0727 0.0759 0.6354
0.0727 0.4241 0.1354
0.0771 0.6555 0.4028
0.0771 0.8445 0.9028
0.1826 0.6830 0.0540
0.1826 0.8170 0.5540
0.2227 0.0466 0.3130
0.2227 0.4534 0.8130
0.2302 0.0466 0.9787
0.2302 0.4534 0.4787
0.2456 0.6942 0.7366
0.2456 0.8058 0.2366
0.3335 0.5659 0.2536
0.3335 0.9341 0.7536
0.3547 0.1633 0.4803
0.3547 0.3367 0.9803
0.4344 0.1356 0.8797
0.4344 0.3644 0.3797
0.4443 0.5360 0.7023
0.4443 0.9640 0.2023
0.4589 0.7334 0.5017
0.4589 0.7666 0.0017
0.5411 0.2334 0.9983
0.5411 0.2666 0.4983
0.5557 0.0360 0.7977
0.5557 0.4640 0.2977
0.5656 0.6356 0.6203
0.5656 0.8644 0.1203
0.6453 0.6633 0.0197
0.6453 0.8367 0.5197
0.6665 0.0659 0.2464
0.6665 0.4341 0.7464
0.7544 0.1942 0.7634
0.7544 0.3058 0.2634
0.7698 0.5466 0.5213
0.7698 0.9534 0.0213
0.7773 0.5466 0.1870
0.7773 0.9534 0.6870
0.8174 0.1830 0.4460
0.8174 0.3170 0.9460
0.9229 0.1555 0.0972
0.9229 0.3445 0.5972
0.9273 0.5759 0.8646
0.9273 0.9241 0.3646